## Cu2Hg2Ge (GGA-PBE)

Data for crystalline Cu2Hg2Ge at its relaxed geometry.

Cell: 7.8436 7.8436 2.9934 Å, 90.00 90.00 90.00°
Closest atoms and distances in Å follow each position.
Space group P4/mbm (No. 127)
Asymmetric unit:
Cu 0.1543 0.3457 0.0000 (multiplicity 4)  6 Hg 2.68-2.78, 2 Cu 2.99
Hg 0.1448 0.6448 0.5000 (multiplicity 4)  6 Cu 2.68-2.78, 2 Hg 2.99
Ge 0.0000 0.0000 0.5000 (multiplicity 2)  2 Ge 2.99, 4 Hg 3.01, 8 Cu 3.33

size of the total moment	0.0	μB/f.u.
calculated density	10.84	g/cm3
D(E_F)	0.29	states/eV per atom
electronic total energy	-23.820	eV/cell
crystal system	tetragonal
energy above the most stable polymorph in this dataset	30	kJ/mol of formula units
DFT formation energy	0.301	eV/atom



## Cu2HgGe (GGA-PBE)

Data for crystalline Cu2HgGe at its relaxed geometry.

Cell: 3.0309 3.0309 24.7351 Å, 90.00 90.00 120.00°
Closest atoms and distances in Å follow each position.
Space group R-3m (No. 166, hexagonal axes)
Asymmetric unit:
Cu 0.0000 0.0000 0.2431 (multiplicity 6)  3 Ge 2.58, 3 Hg 2.84
Hg 0.0000 0.0000 0.0000 (multiplicity 3)  6 Cu 2.84, 6 Hg 3.03
Ge 0.0000 0.0000 0.5000 (multiplicity 3)  6 Cu 2.58

size of the total moment	0.0	μB/f.u.
calculated density	10.13	g/cm3
D(E_F)	0.32	states/eV per atom
electronic total energy	-36.906	eV/cell
crystal system	trigonal
energy above the most stable polymorph in this dataset	4	kJ/mol of formula units
DFT formation energy	0.202	eV/atom



## Cu2HgGe (GGA-PBE)

Data for crystalline Cu2HgGe at its relaxed geometry.

Cell: 4.2118 4.2118 16.7131 Å, 90.00 90.00 90.00°
Closest atoms and distances in Å follow each position.
Space group I-42d (No. 122)
Asymmetric unit:
Cu 0.1656 0.2500 0.1250 (multiplicity 8)  2 Ge 2.44, 2 Cu 2.53, 2 Hg 2.73
Hg 0.0000 0.0000 0.5000 (multiplicity 4)  4 Cu 2.73, 4 Ge 2.98
Ge 0.0000 0.0000 0.0000 (multiplicity 4)  4 Cu 2.44

size of the total moment	0.0	μB/f.u.
calculated density	8.97	g/cm3
D(E_F)	0.37	states/eV per atom
electronic total energy	-47.830	eV/cell
crystal system	tetragonal
energy above the most stable polymorph in this dataset	37	kJ/mol of formula units
DFT formation energy	0.289	eV/atom



## CuHgGe3 (GGA-PBE)

Data for crystalline CuHgGe3 at its relaxed geometry.

Cell: 4.7779 4.7779 4.7779 Å, 90.00 90.00 90.00°
Closest atoms and distances in Å follow each position.
Space group Pm-3m (No. 221)
Asymmetric unit:
Cu 0.0000 0.0000 0.0000 (multiplicity 1)  6 Ge 2.39
Hg 0.5000 0.5000 0.5000 (multiplicity 1)  12 Ge 3.38
Ge 0.0000 0.0000 0.5000 (multiplicity 3)  2 Cu 2.39

size of the total moment	0.0	μB/f.u.
calculated density	7.34	g/cm3
D(E_F)	0.63	states/eV per atom
electronic total energy	-16.138	eV/cell
crystal system	cubic
energy above the most stable polymorph in this dataset	0	kJ/mol of formula units
DFT formation energy	0.422	eV/atom



## Cu2HgGe (GGA-PBE)

Data for crystalline Cu2HgGe at its relaxed geometry.

Cell: 3.0346 3.0346 24.6591 Å, 90.00 90.00 120.00°
Closest atoms and distances in Å follow each position.
Space group R3m (No. 160, hexagonal axes)
Asymmetric unit:
Cu 0.0000 0.0000 0.0000 (multiplicity 3)  3 Ge 2.57, 3 Hg 2.83
Cu 0.0000 0.0000 0.1807 (multiplicity 3)  3 Ge 2.57, 3 Hg 2.83
Hg 0.0000 0.0000 0.7570 (multiplicity 3)  6 Cu 2.83, 6 Hg 3.03
Ge 0.0000 0.0000 0.5903 (multiplicity 3)  6 Cu 2.57

size of the total moment	0.0	μB/f.u.
calculated density	10.14	g/cm3
D(E_F)	0.21	states/eV per atom
electronic total energy	-37.029	eV/cell
crystal system	trigonal
energy above the most stable polymorph in this dataset	0	kJ/mol of formula units
DFT formation energy	0.192	eV/atom



## CuHg2Ge (GGA-PBE)

Data for crystalline CuHg2Ge at its relaxed geometry.

Cell: 7.6952 7.6952 5.7725 Å, 90.00 90.00 90.00°
Closest atoms and distances in Å follow each position.
Space group I-42d (No. 122)
Asymmetric unit:
Cu 0.0000 0.0000 0.0000 (multiplicity 4)  4 Hg 2.69, 2 Ge 2.89
Hg 0.2264 0.7500 0.1250 (multiplicity 8)  2 Cu 2.69, 2 Hg 2.91, 2 Ge 2.94
Ge 0.0000 0.0000 0.5000 (multiplicity 4)  2 Cu 2.89, 4 Hg 2.94

size of the total moment	0.0	μB/f.u.
calculated density	10.44	g/cm3
D(E_F)	0.43	states/eV per atom
electronic total energy	-31.710	eV/cell
crystal system	tetragonal
DFT formation energy	0.347	eV/atom



## CuHg3Ge (GGA-PBE)

Data for crystalline CuHg3Ge at its relaxed geometry.

Cell: 5.0147 5.0147 5.0147 Å, 90.00 90.00 90.00°
Closest atoms and distances in Å follow each position.
Space group Pm-3m (No. 221)
Asymmetric unit:
Cu 0.0000 0.0000 0.0000 (multiplicity 1)  6 Hg 2.51
Hg 0.0000 0.0000 0.5000 (multiplicity 3)  2 Cu 2.51
Ge 0.5000 0.5000 0.5000 (multiplicity 1)  12 Hg 3.55

size of the total moment	0.0	μB/f.u.
calculated density	9.72	g/cm3
D(E_F)	0.53	states/eV per atom
electronic total energy	-7.376	eV/cell
crystal system	cubic
energy above the most stable polymorph in this dataset	0	kJ/mol of formula units
DFT formation energy	0.449	eV/atom



## Cu4HgGe (GGA-PBE)

Data for crystalline Cu4HgGe at its relaxed geometry.

Cell: 7.0641 7.0641 7.0641 Å, 90.00 90.00 90.00°
Closest atoms and distances in Å follow each position.
Space group F-43m (No. 216)
Asymmetric unit:
Cu 0.1252 0.1252 0.1252 (multiplicity 16)  6 Cu 2.49-2.50
Hg 0.2500 0.2500 0.7500 (multiplicity 4)  12 Cu 2.93, 4 Ge 3.06
Ge 0.0000 0.0000 0.5000 (multiplicity 4)  12 Cu 2.93, 4 Hg 3.06

size of the total moment	0.0	μB/f.u.
calculated density	9.94	g/cm3
D(E_F)	0.30	states/eV per atom
electronic total energy	-81.893	eV/cell
crystal system	cubic
DFT formation energy	0.138	eV/atom



## Cu2Hg2Ge (GGA-PBE)

Data for crystalline Cu2Hg2Ge at its relaxed geometry.

Cell: 6.6281 6.6281 4.1106 Å, 90.00 90.00 90.00°
Closest atoms and distances in Å follow each position.
Space group P4/mbm (No. 127)
Asymmetric unit:
Cu 0.1386 0.3614 0.0000 (multiplicity 4)  2 Ge 2.57, 1 Cu 2.60, 2 Hg 2.76
Hg 0.1647 0.6647 0.5000 (multiplicity 4)  6 Cu 2.76-2.88, 1 Hg 3.09
Ge 0.0000 0.0000 0.0000 (multiplicity 2)  4 Cu 2.57

size of the total moment	0.0	μB/f.u.
calculated density	11.05	g/cm3
D(E_F)	0.51	states/eV per atom
electronic total energy	-24.448	eV/cell
crystal system	tetragonal
energy above the most stable polymorph in this dataset	0	kJ/mol of formula units
DFT formation energy	0.238	eV/atom



## Cu3HgGe (GGA-PBE)

Data for crystalline Cu3HgGe at its relaxed geometry.

Cell: 4.5610 4.5610 4.5610 Å, 90.00 90.00 90.00°
Closest atoms and distances in Å follow each position.
Space group Pm-3m (No. 221)
Asymmetric unit:
Cu 0.0000 0.0000 0.5000 (multiplicity 3)  2 Ge 2.28
Hg 0.5000 0.5000 0.5000 (multiplicity 1)  12 Cu 3.23
Ge 0.0000 0.0000 0.0000 (multiplicity 1)  6 Cu 2.28

size of the total moment	0.0	μB/f.u.
calculated density	8.12	g/cm3
D(E_F)	0.42	states/eV per atom
electronic total energy	-14.833	eV/cell
crystal system	cubic
energy above the most stable polymorph in this dataset	0	kJ/mol of formula units
DFT formation energy	0.475	eV/atom



## Cu2HgGe (GGA-PBE)

Data for crystalline Cu2HgGe at its relaxed geometry.

Cell: 3.0834 3.0834 6.8148 Å, 90.00 90.00 90.00°
Closest atoms and distances in Å follow each position.
Space group P4/mmm (No. 123)
Asymmetric unit:
Cu 0.0000 0.0000 0.2181 (multiplicity 2)  4 Ge 2.64, 4 Hg 2.91
Hg 0.5000 0.5000 0.5000 (multiplicity 1)  8 Cu 2.91, 4 Hg 3.08
Ge 0.5000 0.5000 0.0000 (multiplicity 1)  8 Cu 2.64

size of the total moment	0.0	μB/f.u.
calculated density	10.26	g/cm3
D(E_F)	0.33	states/eV per atom
electronic total energy	-12.308	eV/cell
crystal system	tetragonal
energy above the most stable polymorph in this dataset	3	kJ/mol of formula units
DFT formation energy	0.201	eV/atom



## Cu2HgGe (GGA-PBE)

Data for crystalline Cu2HgGe at its relaxed geometry.

Cell: 6.3859 6.3859 6.3859 Å, 90.00 90.00 90.00°
Closest atoms and distances in Å follow each position.
Space group Fm-3m (No. 225)
Asymmetric unit:
Cu 0.2500 0.2500 0.2500 (multiplicity 8)  4 Ge 2.77, 4 Hg 2.77
Hg 0.0000 0.0000 0.0000 (multiplicity 4)  8 Cu 2.77
Ge 0.0000 0.0000 0.5000 (multiplicity 4)  8 Cu 2.77

size of the total moment	0.0	μB/f.u.
calculated density	10.21	g/cm3
D(E_F)	0.34	states/eV per atom
electronic total energy	-48.389	eV/cell
crystal system	cubic
energy above the most stable polymorph in this dataset	24	kJ/mol of formula units
DFT formation energy	0.254	eV/atom



## Pm2Cu3HgGe4 (GGA-PBE)

Data for crystalline Pm2Cu3HgGe4 at its relaxed geometry.

Cell: 4.2763 4.2763 10.3810 Å, 90.00 90.00 90.00°
Closest atoms and distances in Å follow each position.
Space group P-4m2 (No. 115)
Asymmetric unit:
Pm 0.0000 0.5000 0.2406 (multiplicity 2)  8 Ge 3.23-3.29, 6 Cu 3.27-3.44, 2 Hg 3.44
Cu 0.0000 0.5000 0.8781 (multiplicity 2)  5 Ge 2.36-2.48
Cu 0.5000 0.5000 0.5000 (multiplicity 1)  4 Ge 2.65
Hg 0.0000 0.0000 0.5000 (multiplicity 1)  4 Ge 2.65
Ge 0.0000 0.0000 0.0000 (multiplicity 1)  4 Cu 2.48
Ge 0.0000 0.5000 0.6508 (multiplicity 2)  1 Cu 2.36
Ge 0.5000 0.5000 0.0000 (multiplicity 1)  4 Cu 2.48

size of the total moment	0.0	μB/f.u.
calculated density	8.50	g/cm3
D(E_F)	0.32	states/eV per atom
electronic total energy	-44.736	eV/cell
crystal system	tetragonal
DFT formation energy	-0.417	eV/atom



## Pr2Cu3HgGe4 (GGA-PBE)

Data for crystalline Pr2Cu3HgGe4 at its relaxed geometry.

Cell: 4.3194 4.3194 10.3661 Å, 90.00 90.00 90.00°
Closest atoms and distances in Å follow each position.
Space group P-4m2 (No. 115)
Asymmetric unit:
Pr 0.0000 0.5000 0.2410 (multiplicity 2)  8 Ge 3.26-3.30, 6 Cu 3.30-3.45, 2 Hg 3.45
Cu 0.0000 0.5000 0.8797 (multiplicity 2)  5 Ge 2.38-2.49
Cu 0.5000 0.5000 0.5000 (multiplicity 1)  4 Ge 2.66
Hg 0.0000 0.0000 0.5000 (multiplicity 1)  4 Ge 2.66
Ge 0.0000 0.0000 0.0000 (multiplicity 1)  4 Cu 2.49
Ge 0.0000 0.5000 0.6498 (multiplicity 2)  3 Cu 2.38-2.66, 2 Hg 2.66
Ge 0.5000 0.5000 0.0000 (multiplicity 1)  4 Cu 2.49

size of the total moment	0.0	μB/f.u.
calculated density	8.27	g/cm3
D(E_F)	0.31	states/eV per atom
electronic total energy	-44.931	eV/cell
crystal system	tetragonal
DFT formation energy	-0.431	eV/atom



## Pr2Cu4HgGe3 (GGA-PBE)

Data for crystalline Pr2Cu4HgGe3 at its relaxed geometry.

Cell: 4.2464 4.2464 10.4279 Å, 90.00 90.00 90.00°
Closest atoms and distances in Å follow each position.
Space group P-4m2 (No. 115)
Asymmetric unit:
Pr 0.0000 0.5000 0.2346 (multiplicity 2)  6 Ge 3.21-3.49, 8 Cu 3.24-3.25, 2 Hg 3.49
Cu 0.0000 0.0000 0.0000 (multiplicity 1)  4 Ge 2.50
Cu 0.0000 0.5000 0.6454 (multiplicity 2)  3 Ge 2.38-2.61, 2 Hg 2.61
Cu 0.5000 0.5000 0.0000 (multiplicity 1)  4 Ge 2.50
Hg 0.0000 0.0000 0.5000 (multiplicity 1)  4 Cu 2.61
Ge 0.0000 0.5000 0.8736 (multiplicity 2)  5 Cu 2.38-2.50
Ge 0.5000 0.5000 0.5000 (multiplicity 1)  4 Cu 2.61

size of the total moment	0.0	μB/f.u.
calculated density	8.43	g/cm3
D(E_F)	0.32	states/eV per atom
electronic total energy	-44.382	eV/cell
crystal system	tetragonal
DFT formation energy	-0.428	eV/atom



## RbCuHg2Ge (GGA-PBE)

Data for crystalline RbCuHg2Ge at its relaxed geometry.

Cell: 5.3453 5.3453 4.8027 Å, 90.00 90.00 90.00°
Closest atoms and distances in Å follow each position.
Space group P4/mmm (No. 123)
Asymmetric unit:
Rb 0.0000 0.0000 0.0000 (multiplicity 1)  8 Hg 3.59, 4 Ge 3.78
Cu 0.5000 0.5000 0.5000 (multiplicity 1)  2 Ge 2.40, 4 Hg 2.67
Hg 0.0000 0.5000 0.5000 (multiplicity 2)  2 Cu 2.67
Ge 0.5000 0.5000 0.0000 (multiplicity 1)  2 Cu 2.40

size of the total moment	0.0	μB/f.u.
calculated density	7.54	g/cm3
D(E_F)	0.28	states/eV per atom
electronic total energy	-9.957	eV/cell
crystal system	tetragonal
energy above the most stable polymorph in this dataset	0	kJ/mol of formula units
DFT formation energy	0.066	eV/atom



## RbCuHg2Ge (GGA-PBE)

Data for crystalline RbCuHg2Ge at its relaxed geometry.

Cell: 5.7370 5.7370 4.6668 Å, 90.00 90.00 90.00°
Closest atoms and distances in Å follow each position.
Space group P4/mmm (No. 123)
Asymmetric unit:
Rb 0.0000 0.0000 0.0000 (multiplicity 1)  8 Hg 3.70, 4 Cu 4.06
Cu 0.5000 0.5000 0.0000 (multiplicity 1)  2 Ge 2.33
Hg 0.0000 0.5000 0.5000 (multiplicity 2)  2 Ge 2.87
Ge 0.5000 0.5000 0.5000 (multiplicity 1)  2 Cu 2.33

size of the total moment	0.0	μB/f.u.
calculated density	6.73	g/cm3
D(E_F)	0.71	states/eV per atom
electronic total energy	-9.874	eV/cell
crystal system	tetragonal
energy above the most stable polymorph in this dataset	8	kJ/mol of formula units
DFT formation energy	0.082	eV/atom



## CuHgGe2S6 (GGA-PBE)

Data for crystalline CuHgGe2S6 at its relaxed geometry.

Cell: 12.9472 12.4417 6.5668 Å, 90.00 114.83 90.00°
Closest atoms and distances in Å follow each position.
Space group C2/c (No. 15)
Asymmetric unit:
Cu 0.0000 0.2039 0.2500 (multiplicity 4)  4 S 2.31-2.32
Hg 0.0000 0.2241 0.7500 (multiplicity 4)  2 S 2.48
Ge 0.2131 0.4197 0.7251 (multiplicity 8)  4 S 2.22-2.29
S 0.0982 0.0854 0.1220 (multiplicity 8)  1 Ge 2.22, 1 Cu 2.32
S 0.1379 0.4442 0.9787 (multiplicity 8)  2 Ge 2.26-2.28
S 0.1421 0.2524 0.5929 (multiplicity 8)  1 Ge 2.29, 1 Cu 2.31, 1 Hg 2.48

size of the total moment	0.0	μB/f.u.
calculated density	4.16	g/cm3
D(E_F)	0.58	states/eV per atom
formation energy (no corrections)	-0.139	eV/atom
electronic total energy	-159.167	eV/cell
crystal system	monoclinic



## CuHgGe2S (GGA-PBE)

Data for crystalline CuHgGe2S at its relaxed geometry.

Cell: 4.6997 4.6997 4.9652 Å, 90.00 90.00 90.00°
Closest atoms and distances in Å follow each position.
Space group P4/mmm (No. 123)
Asymmetric unit:
Cu 0.0000 0.0000 0.0000 (multiplicity 1)  4 Ge 2.35, 2 Hg 2.48
Hg 0.0000 0.0000 0.5000 (multiplicity 1)  2 Cu 2.48
Ge 0.0000 0.5000 0.0000 (multiplicity 2)  2 Cu 2.35
S 0.5000 0.5000 0.5000 (multiplicity 1)  4 Hg 3.32, 8 Ge 3.42

size of the total moment	0.0	μB/f.u.
calculated density	6.68	g/cm3
D(E_F)	0.33	states/eV per atom
formation energy (no corrections)	0.433	eV/atom
electronic total energy	-15.593	eV/cell
crystal system	tetragonal



## Cu2HgGeS4 (GGA-PBE)

Data for crystalline Cu2HgGeS4 at its relaxed geometry.

Cell: 7.7862 6.6228 6.3721 Å, 90.00 90.00 90.00°
Closest atoms and distances in Å follow each position.
Space group Pmn2_1 (No. 31)
Asymmetric unit:
Cu 0.2492 0.1690 0.0000 (multiplicity 4)  4 S 2.30-2.33
Hg 0.0000 0.3471 0.5045 (multiplicity 2)  4 S 2.58-2.62
Ge 0.0000 0.6777 0.9970 (multiplicity 2)  4 S 2.28-2.29
S 0.0000 0.3422 0.9100 (multiplicity 2)  1 Ge 2.29, 2 Cu 2.33
S 0.0000 0.7109 0.3541 (multiplicity 2)  1 Ge 2.29, 2 Cu 2.30
S 0.2301 0.8454 0.8622 (multiplicity 4)  1 Ge 2.28, 2 Cu 2.32

size of the total moment	0.0	μB/f.u.
calculated density	5.34	g/cm3
D(E_F)	0.09	states/eV per atom
formation energy (no corrections)	-0.286	eV/atom
electronic total energy	-63.812	eV/cell
crystal system	orthorhombic
energy above the most stable polymorph in this dataset	2	kJ/mol of formula units